Record 1
{"formula": "Sr2MgCdAg", "functional": "PBE", "state": "optimized geometry", "lattice": [[6.073, 0.000, 0.000], [0.000, 6.073, 0.000], [0.000, 0.000, 5.147]], "species": ["Sr", "Sr", "Mg", "Cd", "Ag"], "fractional_positions": [[0.000, 0.500, 0.000], [0.500, 0.000, 0.000], [0.000, 0.000, 0.500], [0.500, 0.500, 0.500], [0.000, 0.000, 0.000]], "crystal_system": "tetragonal", "sg": "No. 123", "final_energy_ev_per_cell": -9.0}



Record 2
{"formula": "Na5TlIn5", "functional": "PBE", "state": "optimized geometry", "lattice": [[5.999, 0.000, 0.000], [-3.000, 5.195, 0.000], [0.000, 0.000, 10.919]], "species": ["Na", "Na", "Na", "Na", "Na", "Tl", "In", "In", "In", "In", "In"], "fractional_positions": [[0.000, 0.000, 0.000], [0.333, 0.667, 0.324], [0.333, 0.667, 0.676], [0.667, 0.333, 0.199], [0.667, 0.333, 0.801], [0.333, 0.667, 0.000], [0.000, 0.000, 0.269], [0.000, 0.000, 0.731], [0.340, 0.170, 0.500], [0.830, 0.170, 0.500], [0.830, 0.660, 0.500]], "crystal_system": "hexagonal", "sg": "No. 187", "final_energy_ev_per_cell": -23.3}



Record 3
{"formula": "Ac4InPdI2", "functional": "PBE", "state": "optimized geometry", "lattice": [[8.436, 0.000, 0.000], [0.000, 4.454, 0.000], [-2.414, 0.000, 8.356]], "species": ["Ac", "Ac", "Ac", "Ac", "In", "Pd", "I", "I"], "fractional_positions": [[0.215, 0.000, 0.194], [0.240, 0.500, 0.785], [0.760, 0.500, 0.215], [0.785, 0.000, 0.806], [0.500, 0.000, 0.000], [0.000, 0.500, 0.000], [0.000, 0.000, 0.500], [0.500, 0.500, 0.500]], "crystal_system": "monoclinic", "formation_energy_uncorrected_ev_per_atom": -0.775, "sg": "No. 10"}



Record 4
{"formula": "YTiIN2", "functional": "PBE", "state": "optimized geometry", "lattice": [[4.120, 0.000, 0.000], [0.000, 4.120, 0.000], [0.000, 0.000, 5.268]], "species": ["Y", "Ti", "I", "N", "N"], "fractional_positions": [[0.000, 0.000, 0.000], [0.500, 0.500, 0.500], [0.500, 0.500, 0.000], [0.000, 0.500, 0.500], [0.500, 0.000, 0.500]], "crystal_system": "tetragonal", "de_polymorph_mev_per_atom": 0, "formation_energy_uncorrected_ev_per_atom": -0.057, "sg": "No. 123"}



Record 5
{"formula": "Nd2OsAuC", "functional": "PBE", "state": "optimized geometry", "lattice": [[5.233, 0.000, 0.000], [0.000, 5.233, 0.000], [0.000, 0.000, 3.901]], "species": ["Nd", "Nd", "Os", "Au", "C"], "fractional_positions": [[0.000, 0.500, 0.000], [0.500, 0.000, 0.000], [0.000, 0.000, 0.500], [0.500, 0.500, 0.500], [0.000, 0.000, 0.000]], "crystal_system": "tetragonal", "sg": "No. 123", "final_energy_ev_per_cell": -35.4}



Record 6
{"formula": "Rb2V2Au", "functional": "PBE", "state": "optimized geometry", "lattice": [[-2.130, 2.130, 7.666], [2.130, -2.130, 7.666], [2.130, 2.130, -7.666]], "species": ["Rb", "Rb", "V", "V", "Au"], "fractional_positions": [[0.250, 0.750, 0.500], [0.750, 0.250, 0.500], [0.059, 0.059, 0.000], [0.941, 0.941, 0.000], [0.500, 0.500, 0.000]], "crystal_system": "tetragonal", "de_polymorph_mev_per_atom": 428, "sg": "No. 139"}



Record 7
{"formula": "LaCePb4", "functional": "PBE", "state": "optimized geometry", "lattice": [[0.000, 4.592, 4.592], [4.592, 0.000, 4.592], [4.592, 4.592, 0.000]], "species": ["La", "Ce", "Pb", "Pb", "Pb", "Pb"], "fractional_positions": [[0.000, 0.000, 0.000], [0.750, 0.750, 0.750], [0.375, 0.375, 0.375], [0.375, 0.375, 0.875], [0.375, 0.875, 0.375], [0.875, 0.375, 0.375]], "crystal_system": "cubic", "sg": "No. 216", "final_energy_ev_per_cell": -26.9}



Record 8
{"formula": "SrCdSnPb", "functional": "PBE", "state": "optimized geometry", "lattice": [[4.786, 0.000, 0.000], [0.000, 4.940, 0.000], [0.000, 0.000, 4.943]], "species": ["Sr", "Cd", "Sn", "Pb"], "fractional_positions": [[0.000, 0.000, 0.000], [0.000, 0.500, 0.500], [0.500, 0.500, 0.000], [0.500, 0.000, 0.500]], "crystal_system": "orthorhombic", "sg": "No. 47", "final_energy_ev_per_cell": -11.6}